No. 1
DFT (GGA-PBE) results for ThTeBr2 after structural relaxation.

Cell: 11.313 4.090 7.860 Å, 90.00 113.79 90.00°
Space group Cm (No. 8)
Inequivalent atoms, fractional coordinates:
Th  0.000  0.000  0.000 (multiplicity 2)
Te  0.293  0.000  0.000 (multiplicity 2)
Br  0.146  0.500  0.281 (multiplicity 2)
Br  0.489  0.000  0.719 (multiplicity 2)

Properties
ρ   5.184 g/cm³
E   -4.8915 eV per atom
Crystal system   monoclinic
Formation energy (no corrections)   -1.415 eV per atom

***

No. 2
DFT (GGA-PBE) results for Er6Co2Pd after structural relaxation.

Cell: 9.222 9.323 9.623 Å, 90.00 90.00 90.00°
Space group Immm (No. 71)
Inequivalent atoms, fractional coordinates:
Er  0.000  0.185  0.175 (multiplicity 8)
Er  0.180  0.225  0.500 (multiplicity 8)
Er  0.191  0.500  0.256 (multiplicity 8)
Co  0.000  0.000  0.385 (multiplicity 4)
Co  0.166  0.000  0.000 (multiplicity 4)
Pd  0.000  0.500  0.000 (multiplicity 2)
Pd  0.000  0.500  0.500 (multiplicity 2)

Properties
ρ   9.857 g/cm³
N(E_F)   0.99 states/eV/atom
E   -5.5526 eV per atom
E_form   -0.355 eV/atom
Crystal system   orthorhombic
E above lowest polymorph   0 meV/atom

***

No. 3
DFT (GGA-PBE) results for Ga2SnBP after structural relaxation.

Cell: 4.598 4.598 5.562 Å, 90.00 90.00 90.00°
Space group P4/mmm (No. 123)
Inequivalent atoms, fractional coordinates:
Ga  0.000  0.500  0.000 (multiplicity 2)
Sn  0.000  0.000  0.500 (multiplicity 1)
B  0.500  0.500  0.500 (multiplicity 1)
P  0.000  0.000  0.000 (multiplicity 1)

Properties
ρ   4.236 g/cm³
N(E_F)   0.45 states/eV/atom
E   -3.2586 eV per atom
E_form   1.170 eV/atom
Crystal system   tetragonal

***

No. 4
DFT (GGA-PBE) results for B2CS after structural relaxation.

Cell: 2.906 2.906 4.192 Å, 90.00 90.00 90.00°
Space group P-4m2 (No. 115)
Inequivalent atoms, fractional coordinates:
B  0.000  0.500  0.199 (multiplicity 2)
C  0.000  0.000  0.000 (multiplicity 1)
S  0.500  0.500  0.500 (multiplicity 1)

Properties
ρ   3.082 g/cm³
E   -6.7948 eV per atom
Crystal system   tetragonal
Formation energy (no corrections)   -0.118 eV per atom
E above lowest polymorph   44 meV/atom

***

No. 5
DFT (GGA-PBE) results for NaCa2InRh after structural relaxation.

Cell: 5.466 5.466 5.265 Å, 90.00 90.00 90.00°
Space group P4/mmm (No. 123)
Inequivalent atoms, fractional coordinates:
Na  0.000  0.000  0.000 (multiplicity 1)
Ca  0.000  0.500  0.500 (multiplicity 2)
In  0.500  0.500  0.000 (multiplicity 1)
Rh  0.500  0.500  0.500 (multiplicity 1)

Properties
ρ   3.388 g/cm³
N(E_F)   0.43 states/eV/atom
E   -3.3689 eV per atom
E_form   -0.287 eV/atom
Crystal system   tetragonal

***

No. 6
DFT (GGA-PBE) results for PmDyY2 after structural relaxation.

Cell: 13.051 3.663 6.315 Å, 90.00 118.91 90.00°
Space group Cm (No. 8)
Inequivalent atoms, fractional coordinates:
Pm  0.000  0.000  0.000 (multiplicity 2)
Dy  0.250  0.500  0.415 (multiplicity 2)
Y  0.248  0.000  0.913 (multiplicity 2)
Y  0.498  0.000  0.497 (multiplicity 2)

Properties
ρ   6.099 g/cm³
N(E_F)   1.80 states/eV/atom
E   -5.5586 eV per atom
E_form   0.012 eV/atom
Crystal system   monoclinic
E above lowest polymorph   0 meV/atom

***

No. 7
DFT (GGA-PBE) results for Na2PdBr after structural relaxation.

Cell: 7.184 7.184 7.184 Å, 90.00 90.00 90.00°
Space group Fm-3m (No. 225)
Inequivalent atoms, fractional coordinates:
Na  0.250  0.250  0.250 (multiplicity 8)
Pd  0.000  0.000  0.000 (multiplicity 4)
Br  0.000  0.000  0.500 (multiplicity 4)

Properties
ρ   4.161 g/cm³
N(E_F)   0.47 states/eV/atom
E   -2.7311 eV per atom
Crystal system   cubic
Formation energy (no corrections)   -0.355 eV per atom

***

No. 8
DFT (GGA-PBE) results for AcGa2Pb2 after structural relaxation.

Cell: 4.562 4.732 26.666 Å, 90.00 90.00 90.00°
Space group Imma (No. 74)
Inequivalent atoms, fractional coordinates:
Ac  0.000  0.250  0.179 (multiplicity 4)
Ga  0.000  0.250  0.633 (multiplicity 4)
Ga  0.000  0.250  0.728 (multiplicity 4)
Pb  0.000  0.250  0.440 (multiplicity 4)
Pb  0.000  0.250  0.939 (multiplicity 4)

Properties
ρ   9.009 g/cm³
N(E_F)   0.57 states/eV/atom
E   -3.8565 eV per atom
E_form   -0.341 eV/atom
Crystal system   orthorhombic